! SnBiPb (PBE, relaxed); values from VASP
! Fermi-level density of states = 7.6 states/eV per cell
! offset from the most stable computed form = 91.7 meV per atom
! ΔH_f (0 K) = 139 meV per atom
&SYSTEM
  ibrav = 0, nat = 12, ntyp = 3
/
ATOMIC_SPECIES
Sn 118.71 Sn.upf
Bi 208.98 Bi.upf
Pb 207.20 Pb.upf
CELL_PARAMETERS angstrom
7.4919 0.0000 0.0000
0.0000 7.4919 0.0000
0.0000 0.0000 7.4919
ATOMIC_POSITIONS angstrom
Sn 0.0000 0.0000 0.0000
Sn 0.0000 3.7459 3.7459
Sn 3.7459 0.0000 3.7459
Sn 3.7459 3.7459 0.0000
Bi 1.8730 1.8730 5.6189
Bi 1.8730 5.6189 1.8730
Bi 5.6189 1.8730 1.8730
Bi 5.6189 5.6189 5.6189
Pb 1.8730 1.8730 1.8730
Pb 1.8730 5.6189 5.6189
Pb 5.6189 1.8730 5.6189
Pb 5.6189 5.6189 1.8730